No. 1
The following is a GGA-PBE calculation of a relaxed structure of ScRuI2, from Alexandria via LeMat-Bulk.

a = 4.997 Å, b = 4.997 Å, c = 4.997 Å
α = 60.00°, β = 60.00°, γ = 60.00°
Last column: magnetic moment on the atom in μB.
Fractional coordinates of all 4 atoms:
I  0.250  0.250  0.250  0.06
I  0.750  0.750  0.750  0.06
Ru  0.500  0.500  0.500  0.98
Sc  0.000  0.000  0.000  -0.08

Computed properties:
The symmetry is Fm-3m (225). As for the formation energy from raw total energies: 20.7 kJ/mol of atoms.



No. 2
The following is a GGA-PBE calculation of a relaxed structure of Sc2RuI, from Alexandria via LeMat-Bulk.

a = 4.874 Å, b = 4.874 Å, c = 4.874 Å
α = 60.00°, β = 60.00°, γ = 60.00°
Fractional coordinates of all 4 atoms:
I  0.500  0.500  0.500
Ru  0.000  0.000  0.000
Sc  0.250  0.250  0.250
Sc  0.750  0.750  0.750

Computed properties:
The symmetry is Fm-3m (225). As for the formation energy from raw total energies: -3.1 kJ/mol of atoms.



No. 3
The following is a GGA-PBE calculation of a relaxed structure of Sc2RuI, from Alexandria via LeMat-Bulk.

a = 7.278 Å, b = 7.278 Å, c = 6.345 Å
α = 55.00°, β = 55.00°, γ = 90.00°
Fractional coordinates of all 8 atoms:
I  0.000  0.000  0.000
I  0.750  0.250  0.500
Ru  0.500  0.500  0.000
Ru  0.250  0.750  0.500
Sc  0.570  0.125  0.250
Sc  0.180  0.625  0.250
Sc  0.375  0.430  0.750
Sc  0.875  0.820  0.750

Computed properties:
The symmetry is I-42d (122). As for the formation energy from raw total energies: -0.5 kJ/mol of atoms.



No. 4
The following is a GGA-PBE calculation of a relaxed structure of Sc3RuI, from Alexandria via LeMat-Bulk.

a = 5.130 Å, b = 5.130 Å, c = 5.130 Å
α = 90.00°, β = 90.00°, γ = 90.00°
Fractional coordinates of all 5 atoms:
I  0.000  0.000  0.000
Ru  0.500  0.500  0.500
Sc  0.000  0.500  0.000
Sc  0.000  0.000  0.500
Sc  0.500  0.000  0.000

Computed properties:
The symmetry is Pm-3m (221). As for the formation energy from raw total energies: 90.8 kJ/mol of atoms.



No. 5
The following is a GGA-PBE calculation of a relaxed structure of ScRuI2, from Alexandria via LeMat-Bulk.

a = 5.069 Å, b = 5.069 Å, c = 9.038 Å
α = 73.71°, β = 73.71°, γ = 90.00°
Fractional coordinates of all 8 atoms:
I  0.648  0.125  0.250
I  0.102  0.625  0.250
I  0.375  0.352  0.750
I  0.875  0.898  0.750
Ru  0.000  0.000  0.000
Ru  0.750  0.250  0.500
Sc  0.500  0.500  0.000
Sc  0.250  0.750  0.500

Computed properties:
The symmetry is I-42d (122). As for the formation energy from raw total energies: 15.7 kJ/mol of atoms.



No. 6
The following is a GGA-PBE calculation of a relaxed structure of Sc2RuI, from Alexandria via LeMat-Bulk.

a = 9.554 Å, b = 9.554 Å, c = 9.554 Å
α = 20.62°, β = 20.62°, γ = 20.62°
Last column: magnetic moment on the atom in μB.
Fractional coordinates of all 4 atoms:
I  0.500  0.500  0.500  0.00
Ru  0.000  0.000  0.000  0.00
Sc  0.918  0.918  0.918  0.06
Sc  0.082  0.082  0.082  0.06

Computed properties:
The symmetry is R-3m (166). As for the formation energy from raw total energies: 25.3 kJ/mol of atoms.



No. 7
The following is a GGA-PBE calculation of a relaxed structure of ScTaRuI2, from Alexandria via LeMat-Bulk.

a = 5.300 Å, b = 5.545 Å, c = 5.300 Å
α = 90.00°, β = 90.00°, γ = 90.00°
Last column: magnetic moment on the atom in μB.
Fractional coordinates of all 5 atoms:
I  0.000  0.000  0.500  0.04
I  0.500  0.000  0.000  0.02
Ru  0.500  0.500  0.500  2.48
Sc  0.000  0.500  0.000  -0.11
Ta  0.000  0.000  0.000  0.06

Computed properties:
The symmetry is P4/mmm (123). As for the formation energy from raw total energies: 137.8 kJ/mol of atoms.



No. 8
The following is a GGA-PBE calculation of a relaxed structure of ScTaRuI2, from Alexandria via LeMat-Bulk.

a = 5.285 Å, b = 4.778 Å, c = 5.285 Å
α = 90.00°, β = 90.00°, γ = 90.00°
Last column: magnetic moment on the atom in μB.
Fractional coordinates of all 5 atoms:
I  0.000  0.000  0.500  -0.03
I  0.500  0.000  0.000  -0.04
Ru  0.000  0.000  0.000  -0.10
Sc  0.000  0.500  0.000  0.05
Ta  0.500  0.500  0.500  1.84

Computed properties:
The symmetry is P4/mmm (123). As for the formation energy from raw total energies: 107.1 kJ/mol of atoms.



No. 9
The following is a GGA-PBE calculation of a relaxed structure of ScTe2RuI, from Alexandria via LeMat-Bulk.

a = 5.218 Å, b = 5.218 Å, c = 5.316 Å
α = 90.00°, β = 90.00°, γ = 90.00°
Fractional coordinates of all 5 atoms:
I  0.000  0.000  0.500
Ru  0.000  0.000  0.000
Te  0.000  0.500  0.000
Te  0.500  0.000  0.000
Sc  0.500  0.500  0.500

Computed properties:
The symmetry is P4/mmm (123). As for the formation energy from raw total energies: 23.3 kJ/mol of atoms.



No. 10
The following is a GGA-PBE calculation of a relaxed structure of ScTeRuI2, from Alexandria via LeMat-Bulk.

a = 5.298 Å, b = 5.298 Å, c = 5.290 Å
α = 90.00°, β = 90.00°, γ = 90.00°
Last column: magnetic moment on the atom in μB.
Fractional coordinates of all 5 atoms:
I  0.000  0.500  0.000  -0.02
I  0.500  0.000  0.000  -0.02
Ru  0.000  0.000  0.000  -0.12
Te  0.000  0.000  0.500  -0.05
Sc  0.500  0.500  0.500  0.40

Computed properties:
The symmetry is P4/mmm (123). As for the formation energy from raw total energies: 26.3 kJ/mol of atoms.



No. 11
The following is a GGA-PBE calculation of a relaxed structure of Ru2SeI, from Alexandria via LeMat-Bulk.

a = 5.371 Å, b = 5.371 Å, c = 7.442 Å
α = 68.85°, β = 68.85°, γ = 90.00°
Fractional coordinates of all 8 atoms:
I  0.000  0.000  0.000
I  0.750  0.250  0.500
Ru  0.576  0.125  0.250
Ru  0.174  0.625  0.250
Ru  0.375  0.424  0.750
Ru  0.875  0.826  0.750
Se  0.500  0.500  0.000
Se  0.250  0.750  0.500

Computed properties:
The symmetry is I-42d (122). As for the formation energy from raw total energies: 47.5 kJ/mol of atoms.



No. 12
The following is a GGA-PBE calculation of a relaxed structure of Ru3SeI, from Alexandria via LeMat-Bulk.

a = 4.867 Å, b = 4.867 Å, c = 4.867 Å
α = 90.00°, β = 90.00°, γ = 90.00°
Last column: magnetic moment on the atom in μB.
Fractional coordinates of all 5 atoms:
I  0.000  0.000  0.000  -0.02
Ru  0.000  0.500  0.000  1.37
Ru  0.000  0.000  0.500  1.04
Ru  0.500  0.000  0.000  1.29
Se  0.500  0.500  0.500  0.08

Computed properties:
The symmetry is Pm-3m (221). As for the formation energy from raw total energies: 179.1 kJ/mol of atoms.